(1)
## CaTlRu2 (PBE)

Data for a relaxed structure of CaTlRu2.

Summary:
E = -21.6 eV per formula unit
Relative energy among the computed polymorphs = 14.4 kJ/mol of atoms
Formation enthalpy at 0 K = 0.342 eV/atom
Total magnetic moment = 0.0 Bohr magnetons per cell

abc: 4.403 3.269 11.122
angles: 90.00 90.00 90.00
Space group Amm2 (No. 38)
One atom of each set of equivalent atoms:
Ca 0.000 0.000 0.000 (multiplicity 2)
Tl 0.500 0.000 0.344 (multiplicity 2)
Ru 0.000 0.000 0.724 (multiplicity 2)
Ru 0.500 0.000 0.626 (multiplicity 2)



(2)
## LiAgHPb2 (PBE)

Data for a relaxed structure of LiAgHPb2.

Summary:
E = -15.4 eV per formula unit
Total magnetic moment = 0.0 Bohr magnetons per cell

abc: 5.111 5.111 3.767
angles: 90.00 90.00 90.00
Space group P4/mmm (No. 123)
One atom of each set of equivalent atoms:
Li 0.000 0.000 0.000 (multiplicity 1)
Ag 0.500 0.500 0.000 (multiplicity 1)
H 0.000 0.000 0.500 (multiplicity 1)
Pb 0.000 0.500 0.500 (multiplicity 2)



(3)
## PmZn2Pt2 (PBE)

Data for a relaxed structure of PmZn2Pt2.

Summary:
E = -23.4 eV per formula unit
Relative energy among the computed polymorphs = 0.0 kJ/mol of atoms
Formation enthalpy at 0 K = -0.805 eV/atom
Total magnetic moment = 0.0 Bohr magnetons per cell

abc: 3.954 3.954 12.268
angles: 90.00 90.00 90.00
Space group I4/mmm (No. 139)
One atom of each set of equivalent atoms:
Pm 0.000 0.000 0.000 (multiplicity 2)
Zn 0.000 0.500 0.250 (multiplicity 4)
Pt 0.000 0.000 0.389 (multiplicity 4)



(4)
## AcY2Tl (PBE)

Data for a relaxed structure of AcY2Tl.

Summary:
E = -19.3 eV per formula unit
Relative energy among the computed polymorphs = 20.1 kJ/mol of atoms
Formation enthalpy at 0 K = 0.033 eV/atom
Total magnetic moment = 5.8 Bohr magnetons per cell

abc: 7.984 7.984 7.984
angles: 90.00 90.00 90.00
Space group Fm-3m (No. 225)
One atom of each set of equivalent atoms:
Ac 0.000 0.000 0.000 (multiplicity 4)
Y 0.250 0.250 0.250 (multiplicity 8)
Tl 0.000 0.000 0.500 (multiplicity 4)